Version P
12
Lattice="4.7380 0.0000 0.0000 0.0000 24.7382 0.0000 0.0000 0.0000 5.2083" Properties=species:S:1:pos:R:3 comment="KBaCd (GGA-PBE, optimized geometry)" n_ef_per_ev_cell=9.7 rho_g_cm3=3.14 pbc="T T T"
K 0.0000 4.7725 1.3021
K 0.0000 19.9656 3.9062
K 2.3690 7.5966 3.9062
K 2.3690 17.1416 1.3021
Ba 0.0000 10.5257 1.3021
Ba 0.0000 14.2125 3.9062
Ba 2.3690 1.8434 3.9062
Ba 2.3690 22.8947 1.3021
Cd 0.0000 0.8964 1.3021
Cd 0.0000 23.8418 3.9062
Cd 2.3690 11.4727 3.9062
Cd 2.3690 13.2654 1.3021

---

Version Q
12
Lattice="8.5179 0.0000 0.0000 0.0000 8.5179 0.0000 0.0000 0.0000 8.5179" Properties=species:S:1:pos:R:3 comment="KBaCd (GGA-PBE, optimized geometry)" n_ef_per_ev_cell=13.8 rho_g_cm3=3.10 pbc="T T T"
K 0.0000 0.0000 0.0000
K 0.0000 4.2589 4.2589
K 4.2589 0.0000 4.2589
K 4.2589 4.2589 0.0000
Ba 0.0000 0.0000 4.2589
Ba 0.0000 4.2589 0.0000
Ba 4.2589 0.0000 0.0000
Ba 4.2589 4.2589 4.2589
Cd 2.1295 2.1295 6.3884
Cd 2.1295 6.3884 2.1295
Cd 6.3884 2.1295 2.1295
Cd 6.3884 6.3884 6.3884

---

Name the least stable of them. version Q.

---

Version P
5
Lattice="6.1311 0.0000 0.0000 0.0000 6.1311 0.0000 0.0000 0.0000 6.1531" Properties=species:S:1:pos:R:3 comment="KBa2CdPt (GGA-PBE, optimized geometry)" n_ef_per_ev_cell=3.0 rho_g_cm3=4.46 pbc="T T T"
K 0.0000 0.0000 0.0000
Ba 0.0000 3.0656 3.0765
Ba 3.0656 0.0000 3.0765
Cd 3.0656 3.0656 0.0000
Pt 0.0000 0.0000 3.0765

---

Version Q
5
Lattice="6.2445 0.0000 0.0000 0.0000 6.2445 0.0000 0.0000 0.0000 5.5047" Properties=species:S:1:pos:R:3 comment="KBa2CdPt (GGA-PBE, optimized geometry)" n_ef_per_ev_cell=2.9 rho_g_cm3=4.81 pbc="T T T"
K 0.0000 0.0000 0.0000
Ba 0.0000 3.1223 2.7524
Ba 3.1223 0.0000 2.7524
Cd 3.1223 3.1223 0.0000
Pt 3.1223 3.1223 2.7524

---

Name the least stable of them. version P.